This record from the Alexandria database describes crystalline TiIN2F at its relaxed geometry. The functional is PBE-GGA.

Cell lengths 3.833, 3.833, 5.906 Å; angles 90.00, 90.00, 90.00 degrees
Space group P4/mmm (No. 123)
Inequivalent atoms, fractional coordinates:
Ti1 0.000 0.000 0.000 (multiplicity 1)
I1 0.000 0.000 0.500 (multiplicity 1)
N1 0.000 0.500 0.000 (multiplicity 2)
F1 0.500 0.500 0.500 (multiplicity 1)

Output
For the calculated density, the calculation gives 4.2 g/cm3. For the energy, the calculation gives -5.3624 eV/atom.